Material: Mn3Fe
Method: DFT, SCAN
State: PBEsol geometry

Properties
The space-group type is P-6m2. As for the formation energy: 25.9 kJ per mole of atoms.

a b c (Å): 2.4443 2.4443 7.8345
angles (deg): 90.00 90.00 120.00
Atoms (fractional coordinates):
Mn1 0.0000 0.0000 0.0000
Mn2 0.3333 0.6667 0.2524
Mn3 0.3333 0.6667 0.7476
Fe1 0.0000 0.0000 0.5000